1.
## Er2TmTh (PBE)

Data for a relaxed structure of Er2TmTh.

Summary:
Volume = 31.067 A^3/atom
Energy above the most stable polymorph in this dataset = 35.8 meV/atom

Cell and atoms, written as POSCAR:
```
Er2TmTh
1.0
3.5235 0.0000 0.0000
0.0000 3.5235 0.0000
0.0000 0.0000 10.0096
Er Tm Th
2 1 1
direct
0.0000 0.0000 0.2473
0.0000 0.0000 0.7527
0.5000 0.5000 0.5000
0.5000 0.5000 0.0000
```

=====

2.
## Y2MgZn (PBE)

Data for a relaxed structure of Y2MgZn.

Summary:
Volume = 25.399 A^3/atom
Energy above the most stable polymorph in this dataset = 348.6 meV/atom

Cell and atoms, written as POSCAR:
```
Y2MgZn
1.0
0.0000 3.7035 3.7035
3.7035 0.0000 3.7035
3.7035 3.7035 0.0000
Y Mg Zn
2 1 1
direct
0.0000 0.0000 0.0000
0.2500 0.2500 0.2500
0.5000 0.5000 0.5000
0.7500 0.7500 0.7500
```

=====

3.
## PrCdAgPt (PBE)

Data for a relaxed structure of PrCdAgPt.

Summary:
DFT total energy = -4.151 eV/atom
Volume = 22.061 A^3/atom

Cell and atoms, written as POSCAR:
```
PrCdAgPt
1.0
0.0000 3.5336 3.5336
3.5336 0.0000 3.5336
3.5336 3.5336 0.0000
Pr Cd Ag Pt
1 1 1 1
direct
0.0000 0.0000 0.0000
0.5000 0.5000 0.5000
0.2500 0.2500 0.2500
0.7500 0.7500 0.7500
```

=====

4.
## PaGe2Pd (PBE)

Data for a relaxed structure of PaGe2Pd.

Summary:
DFT total energy = -6.448 eV/atom
Volume = 19.305 A^3/atom

Cell and atoms, written as POSCAR:
```
PaGe2Pd
1.0
4.3239 0.0000 0.0000
0.0000 4.3239 0.0000
0.0000 0.0000 4.1301
Pa Ge Pd
1 2 1
direct
0.0000 0.0000 0.0000
0.0000 0.5000 0.5000
0.5000 0.0000 0.5000
0.5000 0.5000 0.0000
```

=====

5.
## AlP2S2 (PBE)

Data for a relaxed structure of AlP2S2.

Summary:
E_form (uncorrected) = 4.12 eV per formula unit
Volume = 18.506 A^3/atom
Energy above the most stable polymorph in this dataset = 303.3 meV/atom

Cell and atoms, written as POSCAR:
```
AlP2S2
1.0
4.5341 0.0000 0.0000
0.0000 4.5341 0.0000
0.0000 0.0000 4.5009
Al P S
1 2 2
direct
0.0000 0.0000 0.0000
0.0000 0.5000 0.5000
0.5000 0.0000 0.5000
0.5000 0.5000 0.0000
0.5000 0.5000 0.5000
```

=====

6.
## PrPF (PBE)

Data for a relaxed structure of PrPF.

Summary:
E_form (uncorrected) = -5.21 eV per formula unit
Volume = 19.570 A^3/atom
Energy above the most stable polymorph in this dataset = 651.3 meV/atom

Cell and atoms, written as POSCAR:
```
PrPF
1.0
-1.6980 1.6980 5.0905
1.6980 -1.6980 5.0905
1.6980 1.6980 -5.0905
Pr P F
1 1 1
direct
0.0000 0.0000 0.0000
0.3017 0.3017 0.0000
0.5842 0.5842 0.0000
```

=====

7.
## Ba5P (PBE)

Data for a relaxed structure of Ba5P.

Summary:
Volume = 59.274 A^3/atom
Energy above the most stable polymorph in this dataset = 153.3 meV/atom

Cell and atoms, written as POSCAR:
```
Ba5P
1.0
9.5547 0.0000 0.0000
-4.7773 8.2746 0.0000
0.0000 0.0000 4.4984
Ba P
5 1
direct
0.0000 0.7640 0.0000
0.2360 0.2360 0.0000
0.3333 0.6667 0.5000
0.6667 0.3333 0.5000
0.7640 0.0000 0.0000
0.0000 0.0000 0.5000
```

=====

8.
## Al2InSe (PBE)

Data for a relaxed structure of Al2InSe.

Summary:
E_form (uncorrected) = -0.29 eV per formula unit
Volume = 22.670 A^3/atom
Energy above the most stable polymorph in this dataset = 27.4 meV/atom

Cell and atoms, written as POSCAR:
```
Al2InSe
1.0
3.6018 0.0000 0.0000
0.0000 5.3840 0.0000
0.0000 0.0000 4.6760
Al In Se
2 1 1
direct
0.0000 0.0000 0.0000
0.5000 0.5000 0.3251
0.0000 0.5000 0.8164
0.5000 0.0000 0.3704
```

=====

Q: Number 6 is which compound?
A: PrPF

=====

Q: Among the records above, which one has the highest volume?
A: Ba5P

=====

Q: What is the volume in the seventh record?
A: 59.274 A^3/atom